The following is a PBE calculation of a relaxed CaAc2AgO5 crystal, from Alexandria via LeMat-Bulk.

Lattice parameters (Å, degrees): 7.0607 7.0607 6.1478 90.00 90.00 90.00
Last column: nearest neighbours and their distance in Å.
Fractional positions:
Ca 0.0000 0.0000 0.0000  10 O 3.06-3.07
Ca 0.5000 0.5000 0.0000  10 O 3.06-3.07
Ac 0.1713 0.3287 0.5000  4 O 2.37-2.62
Ac 0.3287 0.8287 0.5000  4 O 2.37-2.62
Ac 0.6713 0.1713 0.5000  4 O 2.37-2.62
Ac 0.8287 0.6713 0.5000  4 O 2.37-2.62
Ag 0.0000 0.5000 0.0000  4 O 2.12
Ag 0.5000 0.0000 0.0000  4 O 2.12
O 0.0000 0.0000 0.5000  4 Ac 2.62
O 0.1529 0.6529 0.2404  1 Ag 2.12, 1 Ac 2.37
O 0.1529 0.6529 0.7596  1 Ag 2.12, 1 Ac 2.37
O 0.3471 0.1529 0.2404  1 Ag 2.12, 1 Ac 2.37
O 0.3471 0.1529 0.7596  1 Ag 2.12, 1 Ac 2.37
O 0.5000 0.5000 0.5000  4 Ac 2.62
O 0.6529 0.8471 0.2404  1 Ag 2.12, 1 Ac 2.37
O 0.6529 0.8471 0.7596  1 Ag 2.12, 1 Ac 2.37
O 0.8471 0.3471 0.2404  1 Ag 2.12, 1 Ac 2.37
O 0.8471 0.3471 0.7596  1 Ag 2.12, 1 Ac 2.37

Values from the calculation:
Uncorrected formation energy: -218.13 kJ per mole of atoms



The following is a PBE calculation of a relaxed CaAcAg2O4 crystal, from Alexandria via LeMat-Bulk.

Lattice parameters (Å, degrees): 6.1350 6.1350 6.8471 90.00 90.00 90.00
Last column: nearest neighbours and their distance in Å.
Fractional positions:
Ca 0.0000 0.0000 0.0000  4 O 2.33
Ca 0.5000 0.5000 0.5000  4 O 2.33
Ac 0.0000 0.0000 0.5000  4 O 2.53
Ac 0.5000 0.5000 0.0000  4 O 2.53
Ag 0.0000 0.5000 0.2500  4 O 2.22
Ag 0.0000 0.5000 0.7500  4 O 2.22
Ag 0.5000 0.0000 0.2500  4 O 2.22
Ag 0.5000 0.0000 0.7500  4 O 2.22
O 0.1987 0.1987 0.2300  2 Ag 2.22, 1 Ca 2.33
O 0.1987 0.8013 0.7700  2 Ag 2.22, 1 Ca 2.33
O 0.3013 0.3013 0.7300  2 Ag 2.22, 1 Ca 2.33
O 0.3013 0.6987 0.2700  2 Ag 2.22, 1 Ca 2.33
O 0.6987 0.3013 0.2700  2 Ag 2.22, 1 Ca 2.33
O 0.6987 0.6987 0.7300  2 Ag 2.22, 1 Ca 2.33
O 0.8013 0.1987 0.7700  2 Ag 2.22, 1 Ca 2.33
O 0.8013 0.8013 0.2300  2 Ag 2.22, 1 Ca 2.33

Values from the calculation:
Uncorrected formation energy: -166.59 kJ per mole of atoms



The following is a PBE calculation of a relaxed Ca2AcAgO5 crystal, from Alexandria via LeMat-Bulk.

Lattice parameters (Å, degrees): 7.5898 7.5898 7.5898 128.67 128.67 75.54
Last column: nearest neighbours and their distance in Å.
Fractional positions:
Ca 0.1644 0.6644 0.8288  4 O 2.23-2.46
Ca 0.3356 0.1644 0.5000  4 O 2.23-2.46
Ca 0.6644 0.8356 0.5000  4 O 2.23-2.46
Ca 0.8356 0.3356 0.1712  4 O 2.23-2.46
Ac 0.2500 0.2500 0.0000  10 O 2.83-3.00
Ac 0.7500 0.7500 0.0000  10 O 2.83-3.00
Ag 0.2500 0.7500 0.5000  4 O 2.10
Ag 0.7500 0.2500 0.5000  4 O 2.10
O 0.0000 0.0000 0.0000  4 Ca 2.46
O 0.0342 0.2016 0.5000  1 Ag 2.10, 1 Ca 2.23
O 0.2016 0.7016 0.1675  1 Ag 2.10, 1 Ca 2.23
O 0.2984 0.4658 0.5000  1 Ag 2.10, 1 Ca 2.23
O 0.4658 0.9658 0.1675  1 Ag 2.10, 1 Ca 2.23
O 0.5000 0.5000 0.0000  4 Ca 2.46
O 0.5342 0.0342 0.8325  1 Ag 2.10, 1 Ca 2.23
O 0.7016 0.5342 0.5000  1 Ag 2.10, 1 Ca 2.23
O 0.7984 0.2984 0.8325  1 Ag 2.10, 1 Ca 2.23
O 0.9658 0.7984 0.5000  1 Ag 2.10, 1 Ca 2.23

Values from the calculation:
Uncorrected formation energy: -194.53 kJ per mole of atoms



The following is a PBE calculation of a relaxed CaAc2Ag2O6 crystal, from Alexandria via LeMat-Bulk.

Lattice parameters (Å, degrees): 6.8797 6.8797 6.8797 54.46 54.46 54.46
Last column: nearest neighbours and their distance in Å.
Fractional positions:
Ca 0.0000 0.0000 0.0000  6 O 2.33
Ac 0.2019 0.2019 0.2019  3 O 2.39
Ac 0.7981 0.7981 0.7981  3 O 2.39
Ag 0.4173 0.4173 0.4173  3 O 2.09
Ag 0.5827 0.5827 0.5827  3 O 2.09
O 0.1875 0.7582 0.7582  1 Ag 2.09, 1 Ca 2.33
O 0.2418 0.2418 0.8125  1 Ag 2.09, 1 Ca 2.33
O 0.2418 0.8125 0.2418  1 Ag 2.09, 1 Ca 2.33
O 0.7582 0.1875 0.7582  1 Ag 2.09, 1 Ca 2.33
O 0.7582 0.7582 0.1875  1 Ag 2.09, 1 Ca 2.33
O 0.8125 0.2418 0.2418  1 Ag 2.09, 1 Ca 2.33

Values from the calculation:
Uncorrected formation energy: -165.82 kJ per mole of atoms



The following is a PBE calculation of a relaxed CaAcAgPd crystal, from Alexandria via LeMat-Bulk.

Lattice parameters (Å, degrees): 7.5429 7.5429 7.5429 90.00 90.00 90.00
Last column: nearest neighbours and their distance in Å.
Fractional positions:
Ca 0.0000 0.0000 0.0000  4 Pd 3.27, 4 Ag 3.27
Ca 0.0000 0.5000 0.5000  4 Pd 3.27, 4 Ag 3.27
Ca 0.5000 0.0000 0.5000  4 Pd 3.27, 4 Ag 3.27
Ca 0.5000 0.5000 0.0000  4 Pd 3.27, 4 Ag 3.27
Ac 0.0000 0.0000 0.5000  4 Pd 3.27, 4 Ag 3.27
Ac 0.0000 0.5000 0.0000  4 Pd 3.27, 4 Ag 3.27
Ac 0.5000 0.0000 0.0000  4 Pd 3.27, 4 Ag 3.27
Ac 0.5000 0.5000 0.5000  4 Ag 3.27, 4 Pd 3.27
Ag 0.2500 0.2500 0.7500  4 Ac 3.27, 4 Ca 3.27
Ag 0.2500 0.7500 0.2500  4 Ac 3.27, 4 Ca 3.27
Ag 0.7500 0.2500 0.2500  4 Ac 3.27, 4 Ca 3.27
Ag 0.7500 0.7500 0.7500  4 Ac 3.27, 4 Ca 3.27
Pd 0.2500 0.2500 0.2500  4 Ac 3.27, 4 Ca 3.27
Pd 0.2500 0.7500 0.7500  4 Ac 3.27, 4 Ca 3.27
Pd 0.7500 0.2500 0.7500  4 Ac 3.27, 4 Ca 3.27
Pd 0.7500 0.7500 0.2500  4 Ac 3.27, 4 Ca 3.27

Values from the calculation:
ΔH_f (0 K): -0.4817 eV/atom
Distance to the lowest polymorph of the same formula: 68 meV per atom



The following is a PBE calculation of a relaxed CaAcAgPd crystal, from Alexandria via LeMat-Bulk.

Lattice parameters (Å, degrees): 4.5388 4.1758 11.7837 90.00 90.00 90.00
Last column: nearest neighbours and their distance in Å.
Fractional positions:
Ca 0.0000 0.0000 0.0000  4 Ag 3.16, 3 Pd 3.28-3.34
Ca 0.0000 0.5000 0.5000  4 Ag 3.16, 3 Pd 3.28-3.34
Ac 0.5000 0.0000 0.2756  4 Pd 3.15, 3 Ag 3.29-3.34
Ac 0.5000 0.5000 0.7756  4 Pd 3.15, 3 Ag 3.29-3.34
Ag 0.5000 0.0000 0.5593  2 Pd 2.97, 4 Ca 3.16, 2 Ac 3.29
Ag 0.5000 0.5000 0.0593  2 Pd 2.97, 4 Ca 3.16, 2 Ac 3.29
Pd 0.0000 0.0000 0.7218  2 Ag 2.97, 4 Ac 3.15, 1 Ca 3.28
Pd 0.0000 0.5000 0.2218  2 Ag 2.97, 4 Ac 3.15, 1 Ca 3.28

Values from the calculation:
ΔH_f (0 K): -0.5501 eV/atom
Distance to the lowest polymorph of the same formula: 0 meV per atom



The following is a PBE calculation of a relaxed Ca2AcPmAg4 crystal, from Alexandria via LeMat-Bulk.

Lattice parameters (Å, degrees): 9.3048 9.3048 9.3048 33.28 33.28 33.28
Last column: nearest neighbours and their distance in Å.
Fractional positions:
Ca 0.2475 0.2475 0.2475  8 Ag 3.16-3.49
Ca 0.7525 0.7525 0.7525  8 Ag 3.16-3.49
Ac 0.0000 0.0000 0.0000  8 Ag 3.31-3.36
Pm 0.5000 0.5000 0.5000  8 Ag 3.16-3.24
Ag 0.1277 0.1277 0.1277  4 Ca 3.16-3.27, 3 Pm 3.24, 1 Ac 3.36
Ag 0.3799 0.3799 0.3799  1 Pm 3.16, 4 Ca 3.25-3.49, 3 Ac 3.31
Ag 0.6201 0.6201 0.6201  1 Pm 3.16, 4 Ca 3.25-3.49, 3 Ac 3.31
Ag 0.8724 0.8724 0.8724  4 Ca 3.16-3.27, 3 Pm 3.24, 1 Ac 3.36

Values from the calculation:
ΔH_f (0 K): -0.2957 eV/atom



The following is a PBE calculation of a relaxed CaAcAgPt crystal, from Alexandria via LeMat-Bulk.

Lattice parameters (Å, degrees): 7.4860 7.4860 7.4860 90.00 90.00 90.00
Last column: nearest neighbours and their distance in Å.
Fractional positions:
Ca 0.0000 0.0000 0.0000  4 Pt 3.24, 4 Ag 3.24
Ca 0.0000 0.5000 0.5000  4 Pt 3.24, 4 Ag 3.24
Ca 0.5000 0.0000 0.5000  4 Pt 3.24, 4 Ag 3.24
Ca 0.5000 0.5000 0.0000  4 Pt 3.24, 4 Ag 3.24
Ac 0.0000 0.0000 0.5000  4 Ag 3.24, 4 Pt 3.24
Ac 0.0000 0.5000 0.0000  4 Ag 3.24, 4 Pt 3.24
Ac 0.5000 0.0000 0.0000  4 Ag 3.24, 4 Pt 3.24
Ac 0.5000 0.5000 0.5000  4 Ag 3.24, 4 Pt 3.24
Ag 0.2500 0.2500 0.2500  4 Ac 3.24, 4 Ca 3.24
Ag 0.2500 0.7500 0.7500  4 Ac 3.24, 4 Ca 3.24
Ag 0.7500 0.2500 0.7500  4 Ac 3.24, 4 Ca 3.24
Ag 0.7500 0.7500 0.2500  4 Ac 3.24, 4 Ca 3.24
Pt 0.2500 0.2500 0.7500  4 Ac 3.24, 4 Ca 3.24
Pt 0.2500 0.7500 0.2500  4 Ac 3.24, 4 Ca 3.24
Pt 0.7500 0.2500 0.2500  4 Ac 3.24, 4 Ca 3.24
Pt 0.7500 0.7500 0.7500  4 Ca 3.24, 4 Ac 3.24

Values from the calculation:
ΔH_f (0 K): -0.6260 eV/atom
Distance to the lowest polymorph of the same formula: 87 meV per atom



Q: Which magnetic moment values were calculated for the entries above? A: 2.05; 0.00; 4.12; 1.94; 0.00; 0.00; 0.00; 0.00, in μB/cell.